No. 1
# Al2PPt, relaxed, DFT PBE-GGA
data_Al2PPt
_chemical_formula_sum 'Al2 P1 Pt1'
_space_group_name_H-M_alt 'P 1'
_space_group_IT_number 1
_cell_length_a 3.280
_cell_length_b 3.280
_cell_length_c 5.520
_cell_angle_alpha 90.00
_cell_angle_beta 90.00
_cell_angle_gamma 90.00
loop_
_space_group_symop_operation_xyz
'x,y,z'
loop_
_atom_site_label
_atom_site_fract_x
_atom_site_fract_y
_atom_site_fract_z
_atom_site_occupancy
Al1 0.000 0.000 0.243 1
Al2 0.000 0.000 0.757 1
P1 0.500 0.500 0.000 1
Pt1 0.500 0.500 0.500 1
# V = 14.85 Å³/atom
# energy of formation = -37.4 kJ per mole of atoms

No. 2
# Ti3Ga2Pt4, relaxed, DFT PBE-GGA
data_Ti3Ga2Pt4
_chemical_formula_sum 'Ti3 Ga2 Pt4'
_space_group_name_H-M_alt 'P 1'
_space_group_IT_number 1
_cell_length_a 7.807
_cell_length_b 7.807
_cell_length_c 7.807
_cell_angle_alpha 159.48
_cell_angle_beta 121.28
_cell_angle_gamma 62.89
loop_
_space_group_symop_operation_xyz
'x,y,z'
loop_
_atom_site_label
_atom_site_fract_x
_atom_site_fract_y
_atom_site_fract_z
_atom_site_occupancy
Ti1 0.000 0.000 0.000 1
Ti2 0.335 0.835 0.500 1
Ti3 0.665 0.165 0.500 1
Ga1 0.337 0.500 0.837 1
Ga2 0.663 0.500 0.163 1
Pt1 0.015 0.336 0.679 1
Pt2 0.343 0.664 0.679 1
Pt3 0.657 0.336 0.321 1
Pt4 0.985 0.664 0.321 1
# V = 15.76 Å³/atom
# energy of formation = -67.2 kJ per mole of atoms
# energy above the lowest structure with this stoichiometry = 93.5 meV per atom

No. 3
# PuMg2Hg, relaxed, DFT PBE-GGA
data_PuMg2Hg
_chemical_formula_sum 'Pu1 Mg2 Hg1'
_space_group_name_H-M_alt 'P 1'
_space_group_IT_number 1
_cell_length_a 3.219
_cell_length_b 3.219
_cell_length_c 9.073
_cell_angle_alpha 90.00
_cell_angle_beta 90.00
_cell_angle_gamma 90.00
loop_
_space_group_symop_operation_xyz
'x,y,z'
loop_
_atom_site_label
_atom_site_fract_x
_atom_site_fract_y
_atom_site_fract_z
_atom_site_occupancy
Pu1 0.000 0.000 0.000 1
Mg1 0.500 0.500 0.280 1
Mg2 0.500 0.500 0.720 1
Hg1 0.000 0.000 0.500 1
# V = 23.51 Å³/atom
# energy of formation = -3.5 kJ per mole of atoms
# energy above the lowest structure with this stoichiometry = 0.0 meV per atom

No. 4
# ZrTiIr2, relaxed, DFT PBE-GGA
data_ZrTiIr2
_chemical_formula_sum 'Zr2 Ti2 Ir4'
_space_group_name_H-M_alt 'P 1'
_space_group_IT_number 1
_cell_length_a 9.045
_cell_length_b 9.045
_cell_length_c 9.045
_cell_angle_alpha 153.10
_cell_angle_beta 153.10
_cell_angle_gamma 38.40
loop_
_space_group_symop_operation_xyz
'x,y,z'
loop_
_atom_site_label
_atom_site_fract_x
_atom_site_fract_y
_atom_site_fract_z
_atom_site_occupancy
Zr1 0.000 0.000 0.000 1
Zr2 0.750 0.250 0.500 1
Ti1 0.250 0.750 0.500 1
Ti2 0.500 0.500 0.000 1
Ir1 0.161 0.625 0.036 1
Ir2 0.375 0.411 0.536 1
Ir3 0.589 0.125 0.964 1
Ir4 0.875 0.839 0.464 1
# V = 18.90 Å³/atom
# energy of formation = 1.1 kJ per mole of atoms

No. 5
# Cs3K8Ag2, relaxed, DFT PBE-GGA
data_Cs3K8Ag2
_chemical_formula_sum 'Cs3 K8 Ag2'
_space_group_name_H-M_alt 'P 1'
_space_group_IT_number 1
_cell_length_a 11.294
_cell_length_b 5.030
_cell_length_c 16.139
_cell_angle_alpha 90.00
_cell_angle_beta 102.32
_cell_angle_gamma 90.00
loop_
_space_group_symop_operation_xyz
'x,y,z'
loop_
_atom_site_label
_atom_site_fract_x
_atom_site_fract_y
_atom_site_fract_z
_atom_site_occupancy
Cs1 0.000 0.000 0.000 1
Cs2 0.389 0.500 0.106 1
Cs3 0.611 0.500 0.894 1
K1 0.071 0.500 0.274 1
K2 0.193 0.500 0.543 1
K3 0.247 0.000 0.776 1
K4 0.398 0.000 0.372 1
K5 0.602 0.000 0.628 1
K6 0.753 0.000 0.224 1
K7 0.807 0.500 0.457 1
K8 0.929 0.500 0.726 1
Ag1 0.013 0.000 0.414 1
Ag2 0.987 0.000 0.586 1
# V = 68.90 Å³/atom
# energy of formation = 3.0 kJ per mole of atoms

No. 6
# Cs6Rb2AgO, relaxed, DFT PBE-GGA
data_Cs6Rb2AgO
_chemical_formula_sum 'Cs6 Rb2 Ag1 O1'
_space_group_name_H-M_alt 'P 1'
_space_group_IT_number 1
_cell_length_a 9.698
_cell_length_b 9.698
_cell_length_c 10.513
_cell_angle_alpha 117.37
_cell_angle_beta 117.37
_cell_angle_gamma 90.01
loop_
_space_group_symop_operation_xyz
'x,y,z'
loop_
_atom_site_label
_atom_site_fract_x
_atom_site_fract_y
_atom_site_fract_z
_atom_site_occupancy
Cs1 0.000 0.000 0.000 1
Cs2 0.006 0.006 0.425 1
Cs3 0.006 0.417 0.425 1
Cs4 0.417 0.006 0.425 1
Cs5 0.417 0.417 0.425 1
Cs6 0.513 0.513 0.031 1
Rb1 0.450 0.948 0.899 1
Rb2 0.948 0.450 0.899 1
Ag1 0.749 0.749 0.500 1
O1 0.173 0.173 0.348 1
# V = 75.12 Å³/atom
# formation energy (no corrections) = -25.35 kJ/mol of atoms

No. 7
# OsPtPb2, relaxed, DFT PBE-GGA
data_OsPtPb2
_chemical_formula_sum 'Os1 Pt1 Pb2'
_space_group_name_H-M_alt 'P 1'
_space_group_IT_number 1
_cell_length_a 4.752
_cell_length_b 4.752
_cell_length_c 5.545
_cell_angle_alpha 101.18
_cell_angle_beta 101.18
_cell_angle_gamma 41.88
loop_
_space_group_symop_operation_xyz
'x,y,z'
loop_
_atom_site_label
_atom_site_fract_x
_atom_site_fract_y
_atom_site_fract_z
_atom_site_occupancy
Os1 0.000 0.000 0.000 1
Pt1 0.500 0.500 0.500 1
Pb1 0.253 0.253 0.757 1
Pb2 0.747 0.747 0.243 1
# V = 20.44 Å³/atom
# energy of formation = 67.3 kJ per mole of atoms
# energy above the lowest structure with this stoichiometry = 305.5 meV per atom

No. 8
# Cs2BiPb2, relaxed, DFT PBE-GGA
data_Cs2BiPb2
_chemical_formula_sum 'Cs4 Bi2 Pb4'
_space_group_name_H-M_alt 'P 1'
_space_group_IT_number 1
_cell_length_a 7.823
_cell_length_b 7.823
_cell_length_c 9.649
_cell_angle_alpha 100.73
_cell_angle_beta 100.73
_cell_angle_gamma 112.58
loop_
_space_group_symop_operation_xyz
'x,y,z'
loop_
_atom_site_label
_atom_site_fract_x
_atom_site_fract_y
_atom_site_fract_z
_atom_site_occupancy
Cs1 0.074 0.411 0.293 1
Cs2 0.411 0.074 0.293 1
Cs3 0.589 0.926 0.707 1
Cs4 0.926 0.589 0.707 1
Bi1 0.356 0.644 0.000 1
Bi2 0.644 0.356 0.000 1
Pb1 0.182 0.182 0.939 1
Pb2 0.340 0.340 0.702 1
Pb3 0.660 0.660 0.298 1
Pb4 0.818 0.818 0.061 1
# V = 51.37 Å³/atom
# energy of formation = -11.6 kJ per mole of atoms
# energy above the lowest structure with this stoichiometry = 0.0 meV per atom